(1)
A relaxed structure of LiUAu, computed with PBE.

calculated formation energy: -132 meV per atom
V: 55 Å³/f.u.

abc: 8.250 8.250 4.669
angles: 90.00 90.00 159.65
Atoms (fractional coordinates):
Li 0.082 0.918 0.750
Li 0.918 0.082 0.250
U 0.231 0.769 0.250
U 0.769 0.231 0.750
Au 0.437 0.563 0.750
Au 0.563 0.437 0.250

(2)
A relaxed structure of Rb2PuU2Te6, computed with PBE.

raw formation energy: -903 meV/atom
V: 457 Å³/f.u.

abc: 7.760 7.760 9.134
angles: 98.02 98.02 120.14
Atoms (fractional coordinates):
Rb 0.165 0.835 0.000
Rb 0.835 0.165 0.000
Pu 0.000 0.000 0.500
U 0.333 0.667 0.500
U 0.667 0.333 0.500
Te 0.066 0.404 0.698
Te 0.276 0.276 0.302
Te 0.404 0.066 0.698
Te 0.596 0.934 0.302
Te 0.724 0.724 0.698
Te 0.934 0.596 0.302

Record-wise magnetization values, in μB per cell: 2.40, 10.00